A plane-wave DFT calculation with GGA-PBE was carried out for a relaxed structure of KMn2S4.

Cell lengths 7.940, 7.940, 7.041 Å; angles 107.20, 123.16, 104.64 degrees
Each line ends with the local moment (μB).
Atoms (fractional coordinates):
K  0.915  0.915  0.000  0.00
K  0.363  0.863  0.500  0.00
S  0.853  0.629  0.245  -0.01
S  0.867  0.074  0.667  -0.02
S  0.910  0.538  0.746  -0.09
S  0.384  0.609  0.755  -0.01
S  0.350  0.208  0.791  -0.09
S  0.792  0.165  0.254  -0.09
S  0.417  0.559  0.209  -0.09
S  0.407  0.201  0.333  -0.02
Mn  0.646  0.832  0.225  3.58
Mn  0.627  0.382  0.271  3.04
Mn  0.111  0.356  0.729  3.03
Mn  0.607  0.421  0.775  3.58

Properties
Final energy: -5.722 eV/atom
Total moment: 6.87 μB per formula unit
Fermi-level density of states: 3.8 states/eV/cell
Formation energy (no corrections): -4.1 eV/f.u.


A plane-wave DFT calculation with GGA-PBE was carried out for a relaxed structure of KMnS2.

Cell lengths 6.666, 6.666, 6.398 Å; angles 58.61, 58.61, 90.00 degrees
Atoms (fractional coordinates):
Mn  0.750  0.250  0.500
Mn  0.000  0.000  0.000
S  0.875  0.006  0.750
S  0.756  0.125  0.250
S  0.375  0.244  0.750
S  0.994  0.625  0.250
K  0.500  0.500  0.000
K  0.250  0.750  0.500

Properties
Final energy: -5.323 eV/atom
Total moment: 0.00 μB per formula unit
Fermi-level density of states: 12.9 states/eV/cell
Formation energy (no corrections): -2.8 eV/f.u.


A plane-wave DFT calculation with GGA-PBE was carried out for a relaxed structure of KMnS4.

Cell lengths 6.059, 6.858, 7.735 Å; angles 115.04, 113.03, 90.08 degrees
Each line ends with the local moment (μB).
Atoms (fractional coordinates):
Mn  0.500  0.000  0.500  3.84
Mn  0.000  0.500  0.500  3.84
S  0.629  0.627  0.531  0.01
S  0.373  0.720  0.130  -0.05
S  0.097  0.872  0.467  0.00
S  0.757  0.220  0.130  -0.05
S  0.243  0.780  0.870  -0.05
S  0.903  0.128  0.533  0.00
S  0.371  0.373  0.469  0.01
S  0.627  0.280  0.870  -0.05
K  0.805  0.750  0.999  0.00
K  0.195  0.250  0.001  0.00

Properties
Final energy: -4.879 eV/atom
Total moment: 4.00 μB per formula unit
Fermi-level density of states: 5.3 states/eV/cell
Formation energy (no corrections): -2.5 eV/f.u.